(1)
Entry from Alexandria via LeMat-Bulk: KZn3Rh after structural relaxation (PBE).

```
KZn3Rh
1.0
5.524 0.000 0.000
0.000 5.524 0.000
0.000 0.000 5.524
Zn Rh K
3 1 1
direct
0.000 0.500 0.000
0.000 0.000 0.500
0.500 0.000 0.000
0.500 0.500 0.500
0.000 0.000 0.000
```

For the energy above the most stable polymorph in this dataset, the calculation gives 1727 meV per atom. The formation energy comes out at 1.582 eV per atom. The calculation puts the uncorrected energy at -0.872 eV/atom.

***

(2)
Entry from Alexandria via LeMat-Bulk: KZnRh2 after structural relaxation (PBE).

```
KZnRh2
1.0
-1.912 0.423 -2.024
1.768 -2.143 -0.461
-5.997 -5.899 4.434
K Rh Zn
1 2 1
direct
0.500 0.500 0.750
0.000 0.000 0.037
0.000 0.000 0.463
0.500 0.500 0.250
```

The formation energy comes out at 0.300 eV per atom. The calculation puts the uncorrected energy at -3.969 eV/atom.

***

(3)
Entry from Alexandria via LeMat-Bulk: KZnRh2 after structural relaxation (PBE).

```
KZnRh2
1.0
-2.820 -4.779 -1.356
2.604 -3.931 -3.224
-0.428 3.039 4.817
K Rh Zn
1 2 1
direct
0.250 0.750 0.500
0.969 0.969 0.000
0.531 0.531 0.000
0.750 0.250 0.500
```

The formation energy comes out at 0.366 eV per atom. The calculation puts the uncorrected energy at -3.903 eV/atom.

***

(4)
Entry from Alexandria via LeMat-Bulk: KZr2Rh2 after structural relaxation (PBE).

```
KZr2Rh2
1.0
8.234 0.000 0.000
0.000 8.234 0.000
0.000 0.000 3.130
K Rh Zr
2 4 4
direct
0.000 0.000 0.000
0.500 0.500 0.000
0.360 0.860 0.000
0.860 0.640 0.000
0.640 0.140 0.000
0.140 0.360 0.000
0.141 0.641 0.500
0.641 0.859 0.500
0.859 0.359 0.500
0.359 0.141 0.500
```

The formation energy comes out at -0.201 eV per atom. The calculation puts the uncorrected energy at -6.781 eV/atom.

***

(5)
Entry from Alexandria via LeMat-Bulk: K3ZrRh after structural relaxation (PBE).

```
K3ZrRh
1.0
6.432 0.000 0.000
0.000 6.432 0.000
0.000 0.000 6.432
K Rh Zr
3 1 1
direct
0.000 0.500 0.000
0.000 0.000 0.500
0.500 0.000 0.000
0.500 0.500 0.500
0.000 0.000 0.000
```

For the energy above the most stable polymorph in this dataset, the calculation gives 415 meV per atom. The formation energy comes out at 1.852 eV per atom. The calculation puts the uncorrected energy at -1.986 eV/atom.

***

(6)
Entry from Alexandria via LeMat-Bulk: K2Zr2Rh after structural relaxation (PBE).

```
K2Zr2Rh
1.0
10.535 0.000 0.000
0.000 10.535 0.000
0.000 0.000 2.935
K Rh Zr
4 2 4
direct
0.295 0.795 0.000
0.795 0.705 0.000
0.705 0.205 0.000
0.205 0.295 0.000
0.000 0.000 0.000
0.500 0.500 0.000
0.091 0.591 0.500
0.591 0.909 0.500
0.909 0.409 0.500
0.409 0.091 0.500
```

For the energy above the most stable polymorph in this dataset, the calculation gives 436 meV per atom. The formation energy comes out at 1.519 eV per atom. The calculation puts the uncorrected energy at -3.809 eV/atom.

***

(7)
Entry from Alexandria via LeMat-Bulk: KZrRh4 after structural relaxation (PBE).

```
KZrRh4
1.0
4.284 -0.019 3.132
1.364 4.386 2.657
-0.567 0.192 5.273
K Zr Rh
1 1 4
direct
0.000 0.000 0.000
0.750 0.750 0.750
0.874 0.375 0.375
0.375 0.375 0.874
0.375 0.874 0.375
0.375 0.375 0.375
```

The formation energy comes out at -0.001 eV per atom. The calculation puts the uncorrected energy at -6.510 eV/atom.

***

(8)
Entry from Alexandria via LeMat-Bulk: K3ZrRh after structural relaxation (PBE).

```
K3ZrRh
1.0
5.904 0.000 0.000
0.000 5.904 0.000
0.000 0.000 5.904
K Rh Zr
3 1 1
direct
0.000 0.500 0.000
0.000 0.000 0.500
0.500 0.000 0.000
0.000 0.000 0.000
0.500 0.500 0.500
```

For the energy above the most stable polymorph in this dataset, the calculation gives 0 meV per atom. The formation energy comes out at 1.437 eV per atom. The calculation puts the uncorrected energy at -2.401 eV/atom.

***

(9)
Entry from Alexandria via LeMat-Bulk: KZrRh3 after structural relaxation (PBE).

```
KZrRh3
1.0
4.948 0.000 0.000
0.000 4.948 0.000
0.000 0.000 4.948
K Rh Zr
1 3 1
direct
0.500 0.500 0.500
0.000 0.500 0.000
0.000 0.000 0.500
0.500 0.000 0.000
0.000 0.000 0.000
```

For the energy above the most stable polymorph in this dataset, the calculation gives 0 meV per atom. The formation energy comes out at 0.637 eV per atom. The calculation puts the uncorrected energy at -5.703 eV/atom.

***

(10)
Entry from Alexandria via LeMat-Bulk: K2Zr2Rh after structural relaxation (PBE).

```
K2Zr2Rh
1.0
3.896 0.000 0.000
0.000 3.896 0.000
1.948 1.948 11.122
K Rh Zr
2 1 2
direct
0.412 0.412 0.176
0.588 0.588 0.824
0.000 0.000 0.000
0.750 0.250 0.500
0.250 0.750 0.500
```

For the energy above the most stable polymorph in this dataset, the calculation gives 0 meV per atom. The formation energy comes out at 1.084 eV per atom. The calculation puts the uncorrected energy at -4.245 eV/atom.

***

(11)
Entry from Alexandria via LeMat-Bulk: KZr4Rh after structural relaxation (PBE).

```
KZr4Rh
1.0
2.692 1.886 4.868
1.280 5.698 0.629
-2.938 3.256 3.907
K Zr Rh
1 4 1
direct
0.750 0.750 0.750
0.883 0.372 0.372
0.372 0.372 0.883
0.372 0.883 0.372
0.372 0.372 0.372
0.000 0.000 0.000
```

The formation energy comes out at 0.779 eV per atom. The calculation puts the uncorrected energy at -6.328 eV/atom.

***

(12)
Entry from Alexandria via LeMat-Bulk: KZrRh3 after structural relaxation (PBE).

```
KZrRh3
1.0
-0.030 -2.205 4.071
2.838 -3.225 -1.726
3.658 2.484 1.373
K Rh Zr
1 3 1
direct
0.000 0.000 0.000
0.000 0.500 0.000
0.000 0.000 0.500
0.500 0.000 0.000
0.500 0.500 0.500
```

For the energy above the most stable polymorph in this dataset, the calculation gives 1010 meV per atom. The formation energy comes out at 1.646 eV per atom. The calculation puts the uncorrected energy at -4.694 eV/atom.

***

Q: The highest uncorrected energy belongs to which entry?
A: KZn3Rh

***

Q: The lowest uncorrected energy belongs to which entry?
A: KZr2Rh2

***

Q: Which value of uncorrected energy does entry 4 give?
A: -6.781 eV/atom